1) This record from Alexandria via LeMat-Bulk describes a geometry-optimized Sc2Ta structure. The functional is GGA-PBEsol.

Structure (CIF):
```
data_Sc2Ta
_chemical_formula_sum 'Sc4 Ta2'
_cell_length_a 5.5324
_cell_length_b 5.5324
_cell_length_c 5.5324
_cell_angle_alpha 60.00
_cell_angle_beta 60.00
_cell_angle_gamma 60.00
_symmetry_space_group_name_H-M 'P 1'
_symmetry_Int_Tables_number 1
loop_
_symmetry_equiv_pos_as_xyz
'x,y,z'
loop_
_atom_site_label
_atom_site_fract_x
_atom_site_fract_y
_atom_site_fract_z
_atom_site_occupancy
Sc1 0.6250 0.1250 0.6250 1
Sc2 0.6250 0.6250 0.6250 1
Sc3 0.6250 0.6250 0.1250 1
Ta1 0.0000 0.0000 0.0000 1
Sc4 0.1250 0.6250 0.6250 1
Ta2 0.2500 0.2500 0.2500 1
```

Values from the calculation:
- Crystal system: cubic

2) This record from Alexandria via LeMat-Bulk describes a geometry-optimized Sc2Ta structure. The functional is GGA-PBEsol.

Structure (CIF):
```
data_Sc2Ta
_chemical_formula_sum 'Sc2 Ta1'
_cell_length_a 2.9412
_cell_length_b 5.0025
_cell_length_c 5.0025
_cell_angle_alpha 90.00
_cell_angle_beta 90.00
_cell_angle_gamma 90.00
_symmetry_space_group_name_H-M 'P 1'
_symmetry_Int_Tables_number 1
loop_
_symmetry_equiv_pos_as_xyz
'x,y,z'
loop_
_atom_site_label
_atom_site_fract_x
_atom_site_fract_y
_atom_site_fract_z
_atom_site_occupancy
Sc1 0.5000 0.5000 0.0000 1
Sc2 0.5000 0.0000 0.5000 1
Ta1 0.0000 0.0000 0.0000 1
```

Values from the calculation:
- Crystal system: tetragonal

What is the least stable structure shown above? It is 1).